BaSrPrZrO6 | GGA-PBE | optimized geometry

Structure (POSCAR):
```
BaSrPrZrO6
1.0
0.000 4.419 4.419
4.419 0.000 4.419
4.419 4.419 0.000
Ba Sr Pr Zr O
1 1 1 1 6
Direct
0.000 0.000 0.000 Ba
0.500 0.500 0.500 Sr
0.250 0.250 0.250 Pr
0.750 0.750 0.750 Zr
0.512 0.512 0.988 O
0.512 0.988 0.512 O
0.512 0.988 0.988 O
0.988 0.512 0.512 O
0.988 0.512 0.988 O
0.988 0.988 0.512 O
```

Summary:
E_tot	-7.464	eV per atom
formation energy without anion corrections	-2.796	eV/atom
calculated density	5.3	g/cm³
N(E_F)	9.422	states/eV/cell
magnetization	0.10	μB/atom

Ba2PrTa3O12 | GGA-PBE | optimized geometry

Structure (POSCAR):
```
Ba2PrTa3O12
1.0
3.809 2.199 5.634
-3.809 2.199 5.634
0.000 -4.398 5.634
Ba Pr Ta O
2 1 3 12
Direct
0.120 0.120 0.120 Ba
0.880 0.880 0.880 Ba
0.500 0.500 0.500 Pr
0.000 0.500 0.500 Ta
0.500 0.000 0.500 Ta
0.500 0.500 0.000 Ta
0.093 0.629 0.629 O
0.222 0.222 0.595 O
0.222 0.595 0.222 O
0.371 0.371 0.907 O
0.371 0.907 0.371 O
0.405 0.778 0.778 O
0.595 0.222 0.222 O
0.629 0.093 0.629 O
0.629 0.629 0.093 O
0.778 0.405 0.778 O
0.778 0.778 0.405 O
0.907 0.371 0.371 O
```

Summary:
E_tot	-8.483	eV per atom
formation energy without anion corrections	-2.723	eV/atom
calculated density	6.7	g/cm³
N(E_F)	7.438	states/eV/cell
magnetization	0.11	μB/atom

Ba2PrTc3O12 | GGA-PBE | optimized geometry

Structure (POSCAR):
```
Ba2PrTc3O12
1.0
3.728 2.152 5.402
-3.728 2.152 5.402
0.000 -4.305 5.402
Ba Pr Tc O
2 1 3 12
Direct
0.111 0.111 0.111 Ba
0.889 0.889 0.889 Ba
0.500 0.500 0.500 Pr
0.000 0.500 0.500 Tc
0.500 0.000 0.500 Tc
0.500 0.500 0.000 Tc
0.076 0.633 0.633 O
0.224 0.224 0.603 O
0.224 0.603 0.224 O
0.367 0.367 0.924 O
0.367 0.924 0.367 O
0.397 0.776 0.776 O
0.603 0.224 0.224 O
0.633 0.076 0.633 O
0.633 0.633 0.076 O
0.776 0.397 0.776 O
0.776 0.776 0.397 O
0.924 0.367 0.367 O
```

Summary:
E_tot	-7.483	eV per atom
formation energy without anion corrections	-1.971	eV/atom
calculated density	5.8	g/cm³
N(E_F)	7.361	states/eV/cell
magnetization	0.04	μB/atom

BaPrTe2O8 | GGA-PBE | optimized geometry

Structure (POSCAR):
```
BaPrTe2O8
1.0
6.145 0.000 0.000
-3.072 5.321 0.000
0.000 0.000 7.878
Ba Pr Te O
1 1 2 8
Direct
0.000 0.000 0.000 Ba
0.000 0.000 0.500 Pr
0.333 0.667 0.777 Te
0.667 0.333 0.223 Te
0.162 0.325 0.707 O
0.162 0.838 0.707 O
0.325 0.162 0.293 O
0.333 0.667 0.011 O
0.667 0.333 0.989 O
0.675 0.838 0.707 O
0.838 0.162 0.293 O
0.838 0.675 0.293 O
```

Summary:
E_tot	-6.096	eV per atom
formation energy without anion corrections	-1.708	eV/atom
calculated density	4.3	g/cm³
N(E_F)	3.770	states/eV/cell
magnetization	0.00	μB/atom

BaPrTiO4 | GGA-PBE | optimized geometry

Structure (POSCAR):
```
BaPrTiO4
1.0
-1.990 1.990 6.550
1.990 -1.990 6.550
1.990 1.990 -6.550
Ba Pr Ti O
1 1 1 4
Direct
0.000 0.000 0.000 Ba
0.713 0.713 0.000 Pr
0.348 0.348 0.000 Ti
0.194 0.194 0.000 O
0.343 0.843 0.500 O
0.532 0.532 0.000 O
0.843 0.343 0.500 O
```

Summary:
E_tot	-7.863	eV per atom
formation energy without anion corrections	-2.945	eV/atom
calculated density	6.2	g/cm³
N(E_F)	2.479	states/eV/cell
magnetization	0.13	μB/atom

Ba3PrTi2O9 | GGA-PBE | optimized geometry

Structure (POSCAR):
```
Ba3PrTi2O9
1.0
5.954 0.000 0.000
-2.977 5.156 0.000
0.000 0.000 7.525
Ba Pr Ti O
3 1 2 9
Direct
0.000 0.000 0.000 Ba
0.333 0.667 0.704 Ba
0.667 0.333 0.296 Ba
0.000 0.000 0.500 Pr
0.333 0.667 0.172 Ti
0.667 0.333 0.828 Ti
0.000 0.500 0.000 O
0.178 0.356 0.305 O
0.178 0.822 0.305 O
0.356 0.178 0.695 O
0.500 0.000 0.000 O
0.500 0.500 0.000 O
0.644 0.822 0.305 O
0.822 0.178 0.695 O
0.822 0.644 0.695 O
```

Summary:
E_tot	-7.627	eV per atom
formation energy without anion corrections	-2.896	eV/atom
calculated density	5.7	g/cm³
N(E_F)	7.580	states/eV/cell
magnetization	0.07	μB/atom

BaPr2Ti3O10 | GGA-PBE | optimized geometry

Structure (POSCAR):
```
BaPr2Ti3O10
1.0
1.967 -14.286 0.000
1.967 14.286 0.000
0.000 0.000 7.712
Ba Pr Ti O
2 4 6 20
Direct
0.242 0.758 0.750 Ba
0.758 0.242 0.250 Ba
0.073 0.927 0.750 Pr
0.080 0.920 0.250 Pr
0.920 0.080 0.750 Pr
0.927 0.073 0.250 Pr
0.354 0.646 0.005 Ti
0.354 0.646 0.495 Ti
0.500 0.500 0.000 Ti
0.500 0.500 0.500 Ti
0.646 0.354 0.505 Ti
0.646 0.354 0.995 Ti
0.000 0.000 0.000 O
0.000 0.000 0.500 O
0.131 0.869 0.507 O
0.131 0.869 0.993 O
0.293 0.707 0.046 O
0.293 0.707 0.454 O
0.354 0.646 0.750 O
0.377 0.623 0.250 O
0.433 0.567 0.551 O
0.433 0.567 0.949 O
0.484 0.516 0.250 O
0.516 0.484 0.750 O
0.567 0.433 0.051 O
0.567 0.433 0.449 O
0.623 0.377 0.750 O
0.646 0.354 0.250 O
0.707 0.293 0.546 O
0.707 0.293 0.954 O
0.869 0.131 0.007 O
0.869 0.131 0.493 O
```

Summary:
E_tot	-8.504	eV per atom
formation energy without anion corrections	-3.207	eV/atom
calculated density	5.5	g/cm³
N(E_F)	0.000	states/eV/cell
magnetization	0.00	μB/atom

Ba2PrTlO5 | GGA-PBE | optimized geometry

Structure (POSCAR):
```
Ba2PrTlO5
1.0
1.856 -7.671 0.000
1.856 7.671 0.000
0.000 0.000 11.675
Ba Pr Tl O
4 2 2 10
Direct
0.114 0.886 0.500 Ba
0.135 0.865 0.085 Ba
0.865 0.135 0.585 Ba
0.886 0.114 0.000 Ba
0.218 0.782 0.805 Pr
0.782 0.218 0.305 Pr
0.484 0.516 0.268 Tl
0.516 0.484 0.768 Tl
0.057 0.943 0.856 O
0.283 0.717 0.442 O
0.306 0.694 0.175 O
0.371 0.629 0.806 O
0.496 0.504 0.585 O
0.504 0.496 0.085 O
0.629 0.371 0.306 O
0.694 0.306 0.675 O
0.717 0.283 0.942 O
0.943 0.057 0.356 O
```

Summary:
E_tot	-6.212	eV per atom
formation energy without anion corrections	-2.236	eV/atom
calculated density	7.0	g/cm³
magnetization	0.00	μB/atom

BaPr2TlO5 | GGA-PBE | optimized geometry

Structure (POSCAR):
```
BaPr2TlO5
1.0
6.968 0.000 0.000
0.000 6.968 0.000
0.000 0.000 6.505
Ba Pr Tl O
2 4 2 10
Direct
0.000 0.000 0.000 Ba
0.500 0.500 0.000 Ba
0.172 0.328 0.500 Pr
0.328 0.828 0.500 Pr
0.672 0.172 0.500 Pr
0.828 0.672 0.500 Pr
0.000 0.500 0.000 Tl
0.500 0.000 0.000 Tl
0.000 0.000 0.500 O
0.153 0.653 0.266 O
0.153 0.653 0.734 O
0.347 0.153 0.266 O
0.347 0.153 0.734 O
0.500 0.500 0.500 O
0.653 0.847 0.266 O
0.653 0.847 0.734 O
0.847 0.347 0.266 O
0.847 0.347 0.734 O
```

Summary:
E_tot	-6.593	eV per atom
formation energy without anion corrections	-2.300	eV/atom
calculated density	7.4	g/cm³
N(E_F)	7.315	states/eV/cell
magnetization	0.08	μB/atom

Ba2PrTl2O6 | GGA-PBE | optimized geometry

Structure (POSCAR):
```
Ba2PrTl2O6
1.0
3.296 1.903 6.268
-3.296 1.903 6.268
0.000 -3.806 6.268
Ba Pr Tl O
2 1 2 6
Direct
0.198 0.198 0.198 Ba
0.802 0.802 0.802 Ba
0.000 0.000 0.000 Pr
0.403 0.403 0.403 Tl
0.597 0.597 0.597 Tl
0.207 0.760 0.760 O
0.240 0.240 0.793 O
0.240 0.793 0.240 O
0.760 0.207 0.760 O
0.760 0.760 0.207 O
0.793 0.240 0.240 O
```

Summary:
E_tot	-5.673	eV per atom
formation energy without anion corrections	-1.754	eV/atom
calculated density	6.5	g/cm³
N(E_F)	4.156	states/eV/cell
magnetization	0.00	μB/atom

Ba2PrTm3O8 | GGA-PBE | optimized geometry

Structure (POSCAR):
```
Ba2PrTm3O8
1.0
3.475 2.006 6.075
-3.475 2.006 6.075
0.000 -4.012 6.075
Ba Pr Tm O
2 1 3 8
Direct
0.000 0.000 0.000 Ba
0.377 0.377 0.377 Ba
0.760 0.760 0.760 Pr
0.375 0.375 0.885 Tm
0.375 0.885 0.375 Tm
0.885 0.375 0.375 Tm
0.126 0.126 0.567 O
0.126 0.567 0.126 O
0.147 0.147 0.147 O
0.156 0.636 0.636 O
0.567 0.126 0.126 O
0.616 0.616 0.616 O
0.636 0.156 0.636 O
0.636 0.636 0.156 O
```

Summary:
E_tot	-7.589	eV per atom
formation energy without anion corrections	-3.181	eV/atom
calculated density	6.9	g/cm³
N(E_F)	0.000	states/eV/cell
magnetization	0.00	μB/atom

Ba3PrU2O9 | GGA-PBE | optimized geometry

Structure (POSCAR):
```
Ba3PrU2O9
1.0
6.348 0.000 0.000
-3.174 5.498 0.000
0.000 0.000 7.776
Ba Pr U O
3 1 2 9
Direct
0.000 0.000 0.000 Ba
0.333 0.667 0.663 Ba
0.667 0.333 0.337 Ba
0.000 0.000 0.500 Pr
0.333 0.667 0.163 U
0.667 0.333 0.837 U
0.000 0.500 0.000 O
0.174 0.347 0.323 O
0.174 0.826 0.323 O
0.347 0.174 0.677 O
0.500 0.000 0.000 O
0.500 0.500 0.000 O
0.653 0.826 0.323 O
0.826 0.174 0.677 O
0.826 0.653 0.677 O
```

Summary:
E_tot	-8.267	eV per atom
formation energy without anion corrections	-3.083	eV/atom
calculated density	7.2	g/cm³
N(E_F)	7.773	states/eV/cell
magnetization	0.20	μB/atom